(1)
Material: Na2CeAgSb2
Method: DFT, PBE-GGA
State: optimized geometry

Total magnetic moment: 0.945 μB per formula unit
V: 329.5 Å³/cell
Uncorrected formation energy: -12.8 kcal/mol of atoms

Cell lengths 4.7244, 9.0209, 7.7322 Å; angles 90.00, 90.00, 90.00 degrees
Closest atoms and distances in Å follow each position.
Space group Pmc2_1 (No. 26)
One atom of each set of equivalent atoms:
Na 0.0000 0.0750 0.0000 [2 per cell]  3 Sb 3.29, 4 Na 3.43-3.53, 2 Ag 3.64-3.66
Na 0.5000 0.1567 0.3256 [2 per cell]  4 Sb 3.07-3.16, 2 Na 3.43
Ce 0.5000 0.4589 0.9620 [2 per cell]  5 Sb 3.15-3.28, 2 Ag 3.34
Ag 0.0000 0.3157 0.6186 [2 per cell]  4 Sb 2.82-2.99
Sb 0.0000 0.3775 0.2385 [2 per cell]  2 Ag 2.92-2.99, 2 Na 3.16, 2 Ce 3.27
Sb 0.5000 0.1736 0.7280 [2 per cell]  2 Ag 2.82, 2 Na 3.07-3.12, 1 Ce 3.15

=====

(2)
Material: Na2CeAgSe4
Method: DFT, PBE-GGA
State: optimized geometry

Total magnetic moment: 0.000 μB per formula unit
V: 818.3 Å³/cell
Uncorrected formation energy: -23.5 kcal/mol of atoms

Cell lengths 11.6629, 11.4449, 8.4285 Å; angles 90.00, 133.34, 90.00 degrees
Closest atoms and distances in Å follow each position.
Space group C2/c (No. 15)
One atom of each set of equivalent atoms:
Na 0.0000 0.0000 0.0000 [4 per cell]  6 Se 2.97-3.10
Na 0.2500 0.2500 0.0000 [4 per cell]  6 Se 2.93-3.19
Ce 0.2500 0.2500 0.5000 [4 per cell]  6 Se 2.81-2.94
Ag 0.0000 0.5000 0.0000 [4 per cell]  4 Se 2.73-2.74
Se 0.0066 0.2611 0.0205 [8 per cell]  1 Ag 2.74, 2 Ce 2.88-2.94, 2 Na 2.96-2.99
Se 0.2425 0.4949 0.5170 [8 per cell]  1 Ag 2.73, 1 Ce 2.81, 2 Na 2.93-2.97